Record 1
An optimized crystal structure of KScSb2. Source: the Alexandria database, functional PBEsol.

Cell lengths 5.303, 5.303, 5.303 Å; angles 60.00, 60.00, 60.00 degrees
Fractional positions:
Sc (0.500, 0.500, 0.500)
K (0.000, 0.000, 0.000)
Sb (0.750, 0.750, 0.750)
Sb (0.250, 0.250, 0.250)

Values from the calculation:
- energy above the lowest structure with this stoichiometry (meV/atom) = 12
- space-group type = Fm-3m

***

Record 2
An optimized crystal structure of FeSi2Ir. Source: the Alexandria database, functional PBEsol.

Cell lengths 3.490, 3.490, 4.679 Å; angles 111.90, 111.90, 90.00 degrees
Last column: magnetic moment on the atom in μB.
Fractional positions:
Si (0.000, 0.000, 0.000)  -0.02
Si (0.750, 0.250, 0.500)  -0.03
Ir (0.250, 0.750, 0.500)  0.03
Fe (0.500, 0.500, 0.000)  1.34

Values from the calculation:
- space-group type = I-4m2

***

Record 3
An optimized crystal structure of As2IrPbBr. Source: the Alexandria database, functional PBEsol.

Cell lengths 4.746, 4.746, 5.352 Å; angles 90.00, 90.00, 90.00 degrees
Fractional positions:
Ir (0.000, 0.000, 0.000)
Pb (0.500, 0.500, 0.500)
As (0.500, 0.000, 0.000)
As (0.000, 0.500, 0.000)
Br (0.000, 0.000, 0.500)

Values from the calculation:
- space-group type = P4/mmm

***

Record 4
An optimized crystal structure of ScBi2TeO. Source: the Alexandria database, functional PBEsol.

Cell lengths 4.025, 5.429, 5.429 Å; angles 90.00, 90.00, 90.00 degrees
Fractional positions:
Bi (0.000, 0.500, 0.000)
Bi (0.000, 0.000, 0.500)
O (0.000, 0.000, 0.000)
Te (0.500, 0.500, 0.500)
Sc (0.500, 0.000, 0.000)

Values from the calculation:
- space-group type = P4/mmm

***

Record 5
An optimized crystal structure of ReSiPt. Source: the Alexandria database, functional PBEsol.

Cell lengths 4.128, 4.128, 4.128 Å; angles 60.00, 60.00, 60.00 degrees
Fractional positions:
Re (0.000, 0.000, 0.000)
Pt (0.250, 0.250, 0.250)
Si (0.500, 0.500, 0.500)

Values from the calculation:
- space-group type = F-43m

***

Record 6
An optimized crystal structure of HfNiNF2. Source: the Alexandria database, functional PBEsol.

Cell lengths 3.649, 3.649, 4.066 Å; angles 90.00, 90.00, 90.00 degrees
Fractional positions:
Hf (0.500, 0.500, 0.500)
Ni (0.000, 0.000, 0.000)
N (0.000, 0.000, 0.500)
F (0.000, 0.500, 0.000)
F (0.500, 0.000, 0.000)

Values from the calculation:
- space-group type = P4/mmm

***

Energy relative to the elements, uncorrected across the listed records, respectively: -0.30 -0.32 0.33 -0.71 0.46 -0.77 eV/atom.